# 1
First-principles (PBE) data for a relaxed Li2TlRe crystal, as listed in Alexandria via LeMat-Bulk.

Results
The energy above the most stable polymorph in this dataset comes out at 0.55 eV per formula unit. Its crystal system is monoclinic. For the formation energy, the calculation gives 187 kJ/mol of formula units. Its volume is 16.98 Å³ per atom. As for the total magnetic moment: 0.00 μB/atom.

abc: 5.095 5.095 5.095
angles: 99.31 99.31 31.40
Atoms (fractional coordinates):
1 Li 0.000 0.000 0.000
2 Li 0.243 0.243 0.779
3 Tl 0.742 0.742 0.293
4 Re 0.496 0.496 0.507

=====

# 2
First-principles (PBE) data for a relaxed Li2TlRe crystal, as listed in Alexandria via LeMat-Bulk.

Results
The energy above the most stable polymorph in this dataset comes out at 2.06 eV per formula unit. Its crystal system is tetragonal. For the formation energy, the calculation gives 333 kJ/mol of formula units. Its volume is 17.54 Å³ per atom. As for the total magnetic moment: 0.42 μB/atom.

abc: 5.757 5.757 5.757
angles: 103.01 103.01 123.34
Atoms (fractional coordinates):
1 Li 0.123 0.625 0.998
2 Li 0.375 0.373 0.498
3 Li 0.627 0.125 0.002
4 Li 0.875 0.877 0.502
5 Tl 0.250 0.750 0.500
6 Tl 0.500 0.500 0.000
7 Re 0.000 0.000 0.000
8 Re 0.750 0.250 0.500

=====

# 3
First-principles (PBE) data for a relaxed LiTl2Re crystal, as listed in Alexandria via LeMat-Bulk.

Results
Its crystal system is tetragonal. For the formation energy, the calculation gives 255 kJ/mol of formula units. Its volume is 20.91 Å³ per atom. As for the total magnetic moment: 0.00 μB/atom.

abc: 2.912 2.912 9.864
angles: 90.00 90.00 90.00
Atoms (fractional coordinates):
1 Li 0.000 0.000 0.000
2 Tl 0.000 0.000 0.434
3 Tl 0.500 0.500 0.758
4 Re 0.500 0.500 0.191